TaGaPt2 PBE-GGA optimized geometry; VASP energy = -28.6 eV for the cell shown
1.0
0.000 3.172 3.172
3.172 0.000 3.172
3.172 3.172 0.000
Ta Ga Pt
1 1 2
Cartesian
0.000 0.000 0.000
4.758 4.758 4.758
1.586 1.586 1.586
3.172 3.172 3.172